No. 1
Computed, not measured: a relaxed AlPtBr2N crystal at the GGA-PBEsol level of DFT.

Output
The density of states at the Fermi level comes out at 0.99 states/eV per atom. For the uncorrected formation energy, the calculation gives 0.52 eV per atom. As for the theoretical density: 7.17 g/cm3. As for the calculated total energy: -4.143 eV/atom. The symmetry is P4/mmm, No. 123.

abc: 5.1269 5.1269 3.4882
angles: 90.00 90.00 90.00
Fractional coordinates of all 5 atoms:
Al (0.0000, 0.0000, 0.0000)
Pt (0.5000, 0.5000, 0.5000)
Br (0.0000, 0.5000, 0.0000)
Br (0.5000, 0.0000, 0.0000)
N (0.0000, 0.0000, 0.5000)

No. 2
Computed, not measured: a relaxed LiHf3Ru crystal at the GGA-PBEsol level of DFT.

Output
The density of states at the Fermi level comes out at 1.04 states/eV per atom. As for the theoretical density: 12.02 g/cm3. As for the calculated total energy: -7.739 eV/atom. The calculation puts the formation energy at 990.7 meV/atom. The symmetry is Pm-3m, No. 221.

abc: 4.4626 4.4626 4.4626
angles: 90.00 90.00 90.00
Fractional coordinates of all 5 atoms:
Li (0.0000, 0.0000, 0.0000)
Hf (0.0000, 0.0000, 0.5000)
Hf (0.0000, 0.5000, 0.0000)
Hf (0.5000, 0.0000, 0.0000)
Ru (0.5000, 0.5000, 0.5000)

No. 3
Computed, not measured: a relaxed K2TlSe crystal at the GGA-PBEsol level of DFT.

Output
The density of states at the Fermi level comes out at 0.59 states/eV per atom. For the uncorrected formation energy, the calculation gives -0.45 eV per atom. As for the theoretical density: 4.87 g/cm3. As for the calculated total energy: -2.638 eV/atom. The symmetry is I-4m2, No. 119.

abc: 4.8606 4.8606 10.4261
angles: 90.00 90.00 90.00
Fractional coordinates of all 8 atoms:
K (0.0000, 0.0000, 0.0000)
K (0.0000, 0.5000, 0.2500)
K (0.5000, 0.0000, 0.7500)
K (0.5000, 0.5000, 0.5000)
Tl (0.0000, 0.5000, 0.7500)
Tl (0.5000, 0.0000, 0.2500)
Se (0.0000, 0.0000, 0.5000)
Se (0.5000, 0.5000, 0.0000)

No. 4
Computed, not measured: a relaxed Ca4IrW crystal at the GGA-PBEsol level of DFT.

Output
The density of states at the Fermi level comes out at 0.87 states/eV per atom. As for the theoretical density: 6.38 g/cm3. As for the calculated total energy: -3.972 eV/atom. The calculation puts the formation energy at 1388.5 meV/atom. The symmetry is F-43m, No. 216.

abc: 5.8221 5.8221 5.8221
angles: 60.00 60.00 60.00
Fractional coordinates of all 6 atoms:
Ca (0.3756, 0.3756, 0.3756)
Ca (0.3756, 0.3756, 0.8731)
Ca (0.3756, 0.8731, 0.3756)
Ca (0.8731, 0.3756, 0.3756)
Ir (0.7500, 0.7500, 0.7500)
W (0.0000, 0.0000, 0.0000)